Density functional theory data (PBE) for an optimized crystal structure of LaSmCuSn.

```
LaSmCuSn
1.0
-3.8716 -0.3267 3.6728
-5.0143 -1.1027 -1.4922
-2.1618 -4.7428 1.1908
Sm La Cu Sn
1 1 1 1
Direct
0.0000 0.0000 0.0000
0.5000 0.5000 0.5000
0.7500 0.7500 0.7500
0.2500 0.2500 0.2500
```

For the formation energy, the calculation gives -0.4273 eV/atom.